# 1
Density functional theory data (GGA-PBEsol) for a relaxed LaCoPb crystal.

Values from the calculation:
ΔH_f (0 K), eV per atom: 0.379
Crystal system: cubic

Lattice parameters (Å, degrees): 4.8935 4.8935 4.8935 60.00 60.00 60.00
Fractional coordinates of all 3 atoms:
La (0.0000, 0.0000, 0.0000)
Co (0.5000, 0.5000, 0.5000)
Pb (0.7500, 0.7500, 0.7500)

# 2
Density functional theory data (GGA-PBEsol) for a relaxed La2CoPb crystal.

Values from the calculation:
ΔH_f (0 K), eV per atom: -0.232
Crystal system: monoclinic

Lattice parameters (Å, degrees): 4.8061 4.2112 5.7670 90.00 114.40 90.00
Fractional coordinates of all 4 atoms:
La (0.0000, 0.0000, 0.0000)
La (0.3179, 0.5000, 0.6385)
Co (0.7944, 0.0000, 0.5709)
Pb (0.6210, 0.5000, 0.2416)

# 3
Density functional theory data (GGA-PBEsol) for a relaxed La3CoPd crystal.

Values from the calculation:
ΔH_f (0 K), eV per atom: 0.510
Crystal system: cubic

Lattice parameters (Å, degrees): 5.5000 5.5000 5.5000 90.00 90.00 90.00
Fractional coordinates of all 5 atoms:
La (0.0000, 0.0000, 0.5000)
La (0.0000, 0.5000, 0.0000)
La (0.5000, 0.0000, 0.0000)
Co (0.5000, 0.5000, 0.5000)
Pd (0.0000, 0.0000, 0.0000)

# 4
Density functional theory data (GGA-PBEsol) for a relaxed Sr2LaCoPd crystal.

Values from the calculation:
ΔH_f (0 K), eV per atom: 0.167
Crystal system: tetragonal

Lattice parameters (Å, degrees): 5.5128 5.5128 4.8819 90.00 90.00 90.00
Fractional coordinates of all 5 atoms:
Sr (0.0000, 0.5000, 0.0000)
Sr (0.5000, 0.0000, 0.0000)
La (0.0000, 0.0000, 0.5000)
Co (0.0000, 0.0000, 0.0000)
Pd (0.5000, 0.5000, 0.5000)

# 5
Density functional theory data (GGA-PBEsol) for a relaxed LaCo2Pt crystal.

Values from the calculation:
ΔH_f (0 K), eV per atom: -0.036
Crystal system: orthorhombic

Lattice parameters (Å, degrees): 4.1220 4.2538 4.4756 90.00 90.00 90.00
Fractional coordinates of all 4 atoms:
La (0.0000, 0.0000, 0.0000)
Co (0.5000, 0.5000, 0.2364)
Co (0.5000, 0.5000, 0.7636)
Pt (0.5000, 0.0000, 0.5000)

# 6
Density functional theory data (GGA-PBEsol) for a relaxed La2CoPt2 crystal.

Values from the calculation:
ΔH_f (0 K), eV per atom: -0.431
Crystal system: tetragonal

Lattice parameters (Å, degrees): 5.4711 5.4711 5.4711 118.19 118.19 93.17
Fractional coordinates of all 5 atoms:
La (0.2500, 0.7500, 0.5000)
La (0.7500, 0.2500, 0.5000)
Co (0.0000, 0.0000, 0.0000)
Pt (0.3262, 0.3262, 0.0000)
Pt (0.6738, 0.6738, 0.0000)

# 7
Density functional theory data (GGA-PBEsol) for a relaxed LaCoPt3 crystal.

Values from the calculation:
ΔH_f (0 K), eV per atom: -0.109
Crystal system: cubic

Lattice parameters (Å, degrees): 4.6076 4.6076 4.6076 90.00 90.00 90.00
Fractional coordinates of all 5 atoms:
La (0.0000, 0.0000, 0.0000)
Co (0.5000, 0.5000, 0.5000)
Pt (0.0000, 0.5000, 0.5000)
Pt (0.5000, 0.0000, 0.5000)
Pt (0.5000, 0.5000, 0.0000)

# 8
Density functional theory data (GGA-PBEsol) for a relaxed La2CoPt crystal.

Values from the calculation:
ΔH_f (0 K), eV per atom: -0.456
Crystal system: orthorhombic

Lattice parameters (Å, degrees): 3.5114 3.5114 7.0363 90.00 90.00 90.15
Fractional coordinates of all 4 atoms:
La (0.0000, 0.0000, 0.2378)
La (0.0000, 0.0000, 0.7622)
Co (0.5000, 0.5000, 0.0000)
Pt (0.5000, 0.5000, 0.5000)

# 9
Density functional theory data (GGA-PBEsol) for a relaxed LaCo2Pt crystal.

Values from the calculation:
ΔH_f (0 K), eV per atom: 0.151
Crystal system: tetragonal

Lattice parameters (Å, degrees): 3.2410 3.2410 6.2996 90.00 90.00 90.00
Fractional coordinates of all 4 atoms:
La (0.0000, 0.0000, 0.0000)
Co (0.5000, 0.5000, 0.3146)
Co (0.5000, 0.5000, 0.6854)
Pt (0.0000, 0.0000, 0.5000)

# 10
Density functional theory data (GGA-PBEsol) for a relaxed LaCo2Pt crystal.

Values from the calculation:
ΔH_f (0 K), eV per atom: -0.023
Crystal system: tetragonal

Lattice parameters (Å, degrees): 4.0725 4.0725 3.8151 90.00 90.00 90.00
Fractional coordinates of all 4 atoms:
La (0.0000, 0.0000, 0.0000)
Co (0.0000, 0.5000, 0.5000)
Co (0.5000, 0.0000, 0.5000)
Pt (0.5000, 0.5000, 0.0000)

# 11
Density functional theory data (GGA-PBEsol) for a relaxed La2CoPt crystal.

Values from the calculation:
ΔH_f (0 K), eV per atom: -0.547
Crystal system: orthorhombic

Lattice parameters (Å, degrees): 4.1485 5.8112 5.8112 39.94 90.00 90.00
Fractional coordinates of all 4 atoms:
La (0.0000, 0.0000, 0.0000)
La (0.5000, 0.2812, 0.2812)
Co (0.5000, 0.5482, 0.5482)
Pt (0.0000, 0.7136, 0.7136)

# 12
Density functional theory data (GGA-PBEsol) for a relaxed LaCo2Re crystal.

Values from the calculation:
ΔH_f (0 K), eV per atom: 0.222
Crystal system: tetragonal

Lattice parameters (Å, degrees): 2.9596 2.9596 7.1773 90.00 90.00 90.00
Fractional coordinates of all 4 atoms:
La (0.0000, 0.0000, 0.0000)
Co (0.5000, 0.5000, 0.3117)
Co (0.5000, 0.5000, 0.6883)
Re (0.0000, 0.0000, 0.5000)

# 13
Density functional theory data (GGA-PBEsol) for a relaxed La2CoRe crystal.

Values from the calculation:
ΔH_f (0 K), eV per atom: 0.663
Crystal system: trigonal

Lattice parameters (Å, degrees): 8.4281 8.4281 8.4281 23.70 23.70 23.70
Fractional coordinates of all 4 atoms:
La (0.2443, 0.2443, 0.2443)
La (0.7557, 0.7557, 0.7557)
Co (0.5000, 0.5000, 0.5000)
Re (0.0000, 0.0000, 0.0000)

# 14
Density functional theory data (GGA-PBEsol) for a relaxed LaCo2Re crystal.

Values from the calculation:
ΔH_f (0 K), eV per atom: 0.465
Crystal system: tetragonal

Lattice parameters (Å, degrees): 4.6471 4.6471 2.7816 90.00 90.00 90.00
Fractional coordinates of all 4 atoms:
La (0.0000, 0.0000, 0.0000)
Co (0.0000, 0.5000, 0.5000)
Co (0.5000, 0.0000, 0.5000)
Re (0.5000, 0.5000, 0.0000)

# 15
Density functional theory data (GGA-PBEsol) for a relaxed LaCo3Ru crystal.

Values from the calculation:
ΔH_f (0 K), eV per atom: 0.678
Crystal system: cubic

Lattice parameters (Å, degrees): 4.4224 4.4224 4.4224 90.00 90.00 90.00
Fractional coordinates of all 5 atoms:
La (0.0000, 0.0000, 0.0000)
Co (0.0000, 0.5000, 0.5000)
Co (0.5000, 0.0000, 0.5000)
Co (0.5000, 0.5000, 0.0000)
Ru (0.5000, 0.5000, 0.5000)

# 16
Density functional theory data (GGA-PBEsol) for a relaxed LaCoRu2 crystal.

Values from the calculation:
ΔH_f (0 K), eV per atom: 0.463
Crystal system: tetragonal

Lattice parameters (Å, degrees): 3.9560 3.9560 4.0470 90.00 90.00 90.00
Fractional coordinates of all 4 atoms:
La (0.0000, 0.0000, 0.0000)
Co (0.5000, 0.5000, 0.0000)
Ru (0.0000, 0.5000, 0.5000)
Ru (0.5000, 0.0000, 0.5000)

# 17
Density functional theory data (GGA-PBEsol) for a relaxed LaCo3S crystal.

Values from the calculation:
Energy relative to the elements, uncorrected, eV/atom: 1.71
Crystal system: cubic

Lattice parameters (Å, degrees): 4.4956 4.4956 4.4956 90.00 90.00 90.00
Fractional coordinates of all 5 atoms:
La (0.0000, 0.0000, 0.0000)
Co (0.0000, 0.0000, 0.5000)
Co (0.0000, 0.5000, 0.0000)
Co (0.5000, 0.0000, 0.0000)
S (0.5000, 0.5000, 0.5000)

# 18
Density functional theory data (GGA-PBEsol) for a relaxed LaCo2SnS crystal.

Values from the calculation:
Energy relative to the elements, uncorrected, eV/atom: -0.12
Crystal system: tetragonal

Lattice parameters (Å, degrees): 4.3203 4.3203 5.3846 90.00 90.00 90.00
Fractional coordinates of all 5 atoms:
La (0.0000, 0.0000, 0.0000)
Co (0.0000, 0.5000, 0.5000)
Co (0.5000, 0.0000, 0.5000)
Sn (0.5000, 0.5000, 0.0000)
S (0.0000, 0.0000, 0.5000)

# 19
Density functional theory data (GGA-PBEsol) for a relaxed LaCoSb2 crystal.

Values from the calculation:
Energy relative to the elements, uncorrected, eV/atom: -0.30
Crystal system: orthorhombic

Lattice parameters (Å, degrees): 7.4816 7.4816 7.4816 154.41 149.06 40.56
Fractional coordinates of all 4 atoms:
La (0.0000, 0.0000, 0.0000)
Co (0.2312, 0.7312, 0.5000)
Sb (0.3669, 0.3669, 0.0000)
Sb (0.6766, 0.1766, 0.5000)

# 20
Density functional theory data (GGA-PBEsol) for a relaxed La3CoSb crystal.

Values from the calculation:
Energy relative to the elements, uncorrected, eV/atom: -0.54
Crystal system: cubic

Lattice parameters (Å, degrees): 5.1937 5.1937 5.1937 90.00 90.00 90.00
Fractional coordinates of all 5 atoms:
La (0.0000, 0.0000, 0.5000)
La (0.0000, 0.5000, 0.0000)
La (0.5000, 0.0000, 0.0000)
Co (0.0000, 0.0000, 0.0000)
Sb (0.5000, 0.5000, 0.5000)

# 21
Density functional theory data (GGA-PBEsol) for a relaxed LaCoSb3 crystal.

Values from the calculation:
Energy relative to the elements, uncorrected, eV/atom: -0.62
Crystal system: orthorhombic

Lattice parameters (Å, degrees): 12.9785 6.0844 5.9220 90.00 90.00 90.00
Fractional coordinates of all 20 atoms:
La (0.1988, 0.0000, 0.2500)
La (0.1988, 0.5000, 0.7500)
La (0.8012, 0.0000, 0.7500)
La (0.8012, 0.5000, 0.2500)
Co (0.4098, 0.2500, 0.0000)
Co (0.4098, 0.2500, 0.5000)
Co (0.5902, 0.7500, 0.0000)
Co (0.5902, 0.7500, 0.5000)
Sb (0.0012, 0.2500, 0.0000)
Sb (0.0012, 0.2500, 0.5000)
Sb (0.2935, 0.0000, 0.7500)
Sb (0.2935, 0.5000, 0.2500)
Sb (0.4463, 0.5921, 0.7500)
Sb (0.4463, 0.9079, 0.2500)
Sb (0.5537, 0.0921, 0.7500)
Sb (0.5537, 0.4079, 0.2500)
Sb (0.7065, 0.0000, 0.2500)
Sb (0.7065, 0.5000, 0.7500)
Sb (0.9988, 0.7500, 0.0000)
Sb (0.9988, 0.7500, 0.5000)

# 22
Density functional theory data (GGA-PBEsol) for a relaxed LaCo2Sb crystal.

Values from the calculation:
Energy relative to the elements, uncorrected, eV/atom: -0.25
Crystal system: orthorhombic

Lattice parameters (Å, degrees): 4.1908 4.4627 4.4627 67.07 90.00 90.00
Fractional coordinates of all 4 atoms:
La (0.0000, 0.0000, 0.0000)
Co (0.0000, 0.4384, 0.4384)
Co (0.5000, 0.3080, 0.3080)
Sb (0.5000, 0.6543, 0.6543)

# 23
Density functional theory data (GGA-PBEsol) for a relaxed LaCoSb2 crystal.

Values from the calculation:
Energy relative to the elements, uncorrected, eV/atom: -0.70
Crystal system: tetragonal

Lattice parameters (Å, degrees): 4.3447 4.3447 9.9233 90.00 90.00 90.00
Fractional coordinates of all 8 atoms:
La (0.2500, 0.2500, 0.2408)
La (0.7500, 0.7500, 0.7592)
Co (0.2500, 0.7500, 0.0000)
Co (0.7500, 0.2500, 0.0000)
Sb (0.2500, 0.2500, 0.8706)
Sb (0.2500, 0.7500, 0.5000)
Sb (0.7500, 0.2500, 0.5000)
Sb (0.7500, 0.7500, 0.1294)

# 24
Density functional theory data (GGA-PBEsol) for a relaxed LaCoSb2 crystal.

Values from the calculation:
Energy relative to the elements, uncorrected, eV/atom: 0.01
Crystal system: cubic

Lattice parameters (Å, degrees): 5.0916 5.0916 5.0916 60.00 60.00 60.00
Fractional coordinates of all 4 atoms:
La (0.0000, 0.0000, 0.0000)
Co (0.2500, 0.2500, 0.2500)
Sb (0.5000, 0.5000, 0.5000)
Sb (0.7500, 0.7500, 0.7500)

# 25
Density functional theory data (GGA-PBEsol) for a relaxed LaCoSb2 crystal.

Values from the calculation:
Energy relative to the elements, uncorrected, eV/atom: -0.05
Crystal system: tetragonal

Lattice parameters (Å, degrees): 5.7845 5.7845 5.7845 135.27 135.27 65.11
Fractional coordinates of all 4 atoms:
La (0.0000, 0.0000, 0.0000)
Co (0.5000, 0.5000, 0.0000)
Sb (0.2500, 0.7500, 0.5000)
Sb (0.7500, 0.2500, 0.5000)

# 26
Density functional theory data (GGA-PBEsol) for a relaxed LaCoTcSb2 crystal.

Values from the calculation:
Energy relative to the elements, uncorrected, eV/atom: 0.22
Crystal system: tetragonal

Lattice parameters (Å, degrees): 4.9184 4.9184 4.5124 90.00 90.00 90.00
Fractional coordinates of all 5 atoms:
La (0.0000, 0.0000, 0.0000)
Co (0.5000, 0.5000, 0.5000)
Tc (0.5000, 0.5000, 0.0000)
Sb (0.0000, 0.5000, 0.5000)
Sb (0.5000, 0.0000, 0.5000)

# 27
Density functional theory data (GGA-PBEsol) for a relaxed LaCoSbTe2 crystal.

Values from the calculation:
Energy relative to the elements, uncorrected, eV/atom: 1.01
Crystal system: tetragonal

Lattice parameters (Å, degrees): 5.9789 5.9789 5.9795 90.00 90.00 90.00
Fractional coordinates of all 5 atoms:
La (0.0000, 0.0000, 0.0000)
Co (0.5000, 0.5000, 0.5000)
Sb (0.0000, 0.0000, 0.5000)
Te (0.0000, 0.5000, 0.0000)
Te (0.5000, 0.0000, 0.0000)

# 28
Density functional theory data (GGA-PBEsol) for a relaxed La2ScCo crystal.

Values from the calculation:
ΔH_f (0 K), eV per atom: 0.279
Crystal system: tetragonal

Lattice parameters (Å, degrees): 5.9823 5.9823 5.9823 138.81 138.81 59.66
Fractional coordinates of all 4 atoms:
La (0.0000, 0.0000, 0.0000)
La (0.7500, 0.2500, 0.5000)
Sc (0.5000, 0.5000, 0.0000)
Co (0.2500, 0.7500, 0.5000)

# 29
Density functional theory data (GGA-PBEsol) for a relaxed LaSc4Co crystal.

Values from the calculation:
ΔH_f (0 K), eV per atom: 0.600
Crystal system: cubic

Lattice parameters (Å, degrees): 5.8121 5.8121 5.8121 60.00 60.00 60.00
Fractional coordinates of all 6 atoms:
La (0.0000, 0.0000, 0.0000)
Sc (0.3763, 0.3763, 0.3763)
Sc (0.3763, 0.3763, 0.8712)
Sc (0.3763, 0.8712, 0.3763)
Sc (0.8712, 0.3763, 0.3763)
Co (0.7500, 0.7500, 0.7500)

| no. | Fermi-level density of states (states/eV/atom) |
| --- | --- |
| 1 | 0.593 |
| 2 | 1.008 |
| 3 | 2.134 |
| 4 | 0.785 |
| 5 | 1.188 |
| 6 | 1.196 |
| 7 | 0.759 |
| 8 | 0.624 |
| 9 | 1.901 |
| 10 | 1.416 |
| 11 | 0.593 |
| 12 | 0.916 |
| 13 | 1.294 |
| 14 | 1.298 |
| 15 | 1.358 |
| 16 | 1.606 |
| 17 | 1.736 |
| 18 | 1.070 |
| 19 | 0.427 |
| 20 | 0.813 |
| 21 | 0.649 |
| 22 | 1.272 |
| 23 | 0.604 |
| 24 | 0.810 |
| 25 | 1.373 |
| 26 | 1.383 |
| 27 | 2.028 |
| 28 | 1.137 |
| 29 | 1.770 |